Entry 1:
A plane-wave DFT calculation with PBEsol was carried out for a relaxed BaLaRh2 crystal.

The structure belongs to space group P4/mmm (No. 123); the cell edges are 5.0167, 5.0167 and 3.7236 Å and the angles 90.00°, 90.00° and 90.00°. The asymmetric unit holds Ba at (0.0000, 0.0000, 0.0000), La at (0.5000, 0.5000, 0.0000) and Rh at (0.0000, 0.5000, 0.5000).

The energy of formation is -0.11 eV per atom. Its electronic total energy is -6.06 eV per atom.


Entry 2:
A plane-wave DFT calculation with PBEsol was carried out for a relaxed MoPRu crystal.

The structure belongs to space group Pnma (No. 62); the cell edges are 5.9674, 3.8466 and 6.9098 Å and the angles 90.00°, 90.00° and 90.00°. The asymmetric unit holds Mo at (0.0256, 0.2500, 0.1704), P at (0.2451, 0.7500, 0.3832) and Ru at (0.1410, 0.2500, 0.5679).

The energy of formation is -0.59 eV per atom. Its electronic total energy is -9.84 eV per atom.


Entry 3:
A plane-wave DFT calculation with PBEsol was carried out for a relaxed Y2CoPt crystal.

The structure belongs to space group Amm2 (No. 38); the cell edges are 3.9687, 3.8862 and 10.5139 Å and the angles 90.00°, 90.00° and 90.00°. The asymmetric unit holds Y at (0.0000, 0.0000, 0.0000), Y at (0.5000, 0.0000, 0.2907), Co at (0.5000, 0.0000, 0.5653) and Pt at (0.0000, 0.0000, 0.7159).

The energy of formation is -0.67 eV per atom. Its electronic total energy is -7.75 eV per atom.


Entry 4:
A plane-wave DFT calculation with PBEsol was carried out for a relaxed Na2HgSb2 crystal.

The structure belongs to space group P4/mbm (No. 127); the cell edges are 7.5182, 7.5182 and 5.0263 Å and the angles 90.00°, 90.00° and 90.00°. The asymmetric unit holds Na at (0.1665, 0.3335, 0.0000), Hg at (0.0000, 0.0000, 0.5000) and Sb at (0.1388, 0.6388, 0.5000).

For the formation energy without anion corrections, the calculation gives -0.2449 eV/atom. Its electronic total energy is -2.74 eV per atom.